# 1
{"formula": "PmGaCu3", "functional": "GGA-PBE", "state": "optimized geometry", "energy_ry_per_atom": -0.311, "magnetic_moment_mub_per_fu": 0.00, "cell": [[-2.4892, 4.2860, 4.2249], [2.4892, -4.2860, 4.2249], [2.4892, 4.2860, -4.2249]], "species": ["Pm", "Pm", "Ga", "Ga", "Cu", "Cu", "Cu", "Cu", "Cu", "Cu"], "fractional_positions": [[0.2901, 0.0401, 0.2500], [0.7099, 0.9599, 0.7500], [0.0000, 0.5000, 0.5000], [0.5000, 0.5000, 0.0000], [0.0777, 0.3277, 0.7500], [0.2406, 0.0000, 0.7406], [0.2406, 0.5000, 0.2406], [0.7594, 0.0000, 0.2594], [0.7594, 0.5000, 0.7594], [0.9223, 0.6723, 0.2500]]}

***

# 2
{"formula": "MgIn2Si", "functional": "GGA-PBE", "state": "optimized geometry", "energy_ry_per_atom": -0.221, "magnetic_moment_mub_per_fu": 0.00, "raw_formation_energy_ev_per_atom": 0.12, "cell": [[3.0332, 0.0000, 0.0000], [0.0000, 4.1964, 0.0000], [-1.5020, 0.0000, 7.2174]], "species": ["Mg", "In", "In", "Si"], "fractional_positions": [[0.0000, 0.0000, 0.0000], [0.3618, 0.5000, 0.7282], [0.7229, 0.0000, 0.4334], [0.5774, 0.5000, 0.1526]]}

***

# 3
{"formula": "Tm2V2Fe15", "functional": "GGA-PBE", "state": "optimized geometry", "energy_ry_per_atom": -0.601, "magnetic_moment_mub_per_fu": 27.27, "cell": [[4.1634, 2.4037, 4.1589], [-4.1634, 2.4037, 4.1589], [0.0000, -4.8075, 4.1589]], "species": ["Tm", "Tm", "V", "V", "Fe", "Fe", "Fe", "Fe", "Fe", "Fe", "Fe", "Fe", "Fe", "Fe", "Fe", "Fe", "Fe", "Fe", "Fe"], "fractional_positions": [[0.1548, 0.1548, 0.1548], [0.8452, 0.8452, 0.8452], [0.4041, 0.4041, 0.4041], [0.5959, 0.5959, 0.5959], [0.0000, 0.5000, 0.5000], [0.1590, 0.1590, 0.6585], [0.1590, 0.6585, 0.1590], [0.1947, 0.5000, 0.8053], [0.1947, 0.8053, 0.5000], [0.3415, 0.8410, 0.8410], [0.5000, 0.0000, 0.5000], [0.5000, 0.1947, 0.8053], [0.5000, 0.5000, 0.0000], [0.5000, 0.8053, 0.1947], [0.6585, 0.1590, 0.1590], [0.8053, 0.1947, 0.5000], [0.8053, 0.5000, 0.1947], [0.8410, 0.3415, 0.8410], [0.8410, 0.8410, 0.3415]]}

***

# 4
{"formula": "La3Er2TmAs6", "functional": "GGA-PBE", "state": "optimized geometry", "energy_ry_per_atom": -0.457, "magnetic_moment_mub_per_fu": 0.00, "cell": [[3.6640, -6.3454, 0.0000], [3.6640, 6.3454, 0.0000], [-2.4411, 0.0000, 6.8906]], "species": ["La", "La", "La", "Er", "Er", "Tm", "As", "As", "As", "As", "As", "As"], "fractional_positions": [[0.0000, 0.0000, 0.0000], [0.3332, 0.6668, 0.0000], [0.6668, 0.3332, 0.0000], [0.1666, 0.8334, 0.5000], [0.8334, 0.1666, 0.5000], [0.5000, 0.5000, 0.5000], [0.0894, 0.4221, 0.2662], [0.2453, 0.2453, 0.7341], [0.4221, 0.0894, 0.2662], [0.5779, 0.9106, 0.7338], [0.7547, 0.7547, 0.2659], [0.9106, 0.5779, 0.7338]]}

***

# 5
{"formula": "GePS2O", "functional": "GGA-PBE", "state": "optimized geometry", "energy_ry_per_atom": -0.245, "magnetic_moment_mub_per_fu": 0.00, "raw_formation_energy_ev_per_atom": 1.31, "cell": [[4.5403, 0.0000, 0.0000], [0.0000, 4.5403, 0.0000], [0.0000, 0.0000, 4.9136]], "species": ["Ge", "P", "S", "S", "O"], "fractional_positions": [[0.0000, 0.0000, 0.0000], [0.0000, 0.0000, 0.5000], [0.0000, 0.5000, 0.0000], [0.5000, 0.0000, 0.0000], [0.5000, 0.5000, 0.5000]]}

***

# 6
{"formula": "KZrAl2", "functional": "GGA-PBE", "state": "optimized geometry", "energy_ry_per_atom": -0.298, "magnetic_moment_mub_per_fu": 0.00, "cell": [[3.9066, -3.9271, 0.0000], [3.9066, 3.9271, 0.0000], [0.0000, 0.0000, 2.9814]], "species": ["K", "Zr", "Al", "Al"], "fractional_positions": [[0.0000, 0.0000, 0.0000], [0.5000, 0.5000, 0.0000], [0.0000, 0.5000, 0.5000], [0.5000, 0.0000, 0.5000]]}

***

# 7
{"formula": "AgPt2", "functional": "GGA-PBE", "state": "optimized geometry", "energy_ry_per_atom": -0.366, "magnetic_moment_mub_per_fu": 0.00, "cell": [[2.7916, 0.0000, 0.0000], [-1.3958, 2.4176, 0.0000], [0.0000, 0.0000, 7.1976]], "species": ["Ag", "Pt", "Pt"], "fractional_positions": [[0.0000, 0.0000, 0.0000], [0.3333, 0.6667, 0.6651], [0.6667, 0.3333, 0.3349]]}

***

# 8
{"formula": "Na2SrTl", "functional": "GGA-PBE", "state": "optimized geometry", "energy_ry_per_atom": -0.127, "magnetic_moment_mub_per_fu": 0.00, "cell": [[4.3625, 0.0000, 0.0000], [0.0000, 4.3625, 0.0000], [0.0000, 0.0000, 7.5275]], "species": ["Na", "Na", "Sr", "Tl"], "fractional_positions": [[0.0000, 0.0000, 0.2072], [0.0000, 0.0000, 0.7928], [0.5000, 0.5000, 0.5000], [0.5000, 0.5000, 0.0000]]}